A:
# PBE YCuCl2, optimized geometry
data_YCuCl2
_chemical_formula_sum 'Y2 Cu2 Cl4'
_cell_length_a 10.224
_cell_length_b 3.592
_cell_length_c 7.319
_cell_angle_alpha 90.00
_cell_angle_beta 123.50
_cell_angle_gamma 90.00
_space_group_name_H-M_alt 'C 1 m 1'
_space_group_IT_number 8
loop_
_space_group_symop_operation_xyz
'x,y,z'
'x,-y,z'
'x+1/2,y+1/2,z'
'x+1/2,-y+1/2,z'
loop_
_atom_site_label
_atom_site_type_symbol
_atom_site_fract_x
_atom_site_fract_y
_atom_site_fract_z
Y1 Y 0.000 0.000 0.000
Cu1 Cu 0.287 0.000 0.673
Cl1 Cl 0.054 0.500 0.315
Cl2 Cl 0.194 0.500 0.982
# * magnetic moment: 0.00 Bohr magnetons per cell


B:
# PBE YCuCl2, optimized geometry
data_YCuCl2
_chemical_formula_sum 'Y4 Cu4 Cl8'
_cell_length_a 6.918
_cell_length_b 6.918
_cell_length_c 6.918
_cell_angle_alpha 90.00
_cell_angle_beta 90.00
_cell_angle_gamma 90.00
_space_group_name_H-M_alt 'F -4 3 m'
_space_group_IT_number 216
_space_group_name_Hall 'F -4 2 3'
loop_
_atom_site_label
_atom_site_type_symbol
_atom_site_fract_x
_atom_site_fract_y
_atom_site_fract_z
Y1 Y 0.000 0.000 0.000
Cu1 Cu 0.250 0.250 0.750
Cl1 Cl 0.000 0.000 0.500
Cl2 Cl 0.250 0.250 0.250
# * magnetic moment: 0.00 Bohr magnetons per cell


C:
# PBE YCuCl2, optimized geometry
data_YCuCl2
_chemical_formula_sum 'Y3 Cu3 Cl6'
_cell_length_a 3.5447
_cell_length_b 3.5447
_cell_length_c 30.8515
_cell_angle_alpha 90.00
_cell_angle_beta 90.00
_cell_angle_gamma 120.00
_space_group_name_H-M_alt 'R -3 m'
_space_group_IT_number 166
_space_group_name_Hall '-R 3 2"'
loop_
_atom_site_label
_atom_site_type_symbol
_atom_site_fract_x
_atom_site_fract_y
_atom_site_fract_z
Y1 Y 0.0000 0.0000 0.0000
Cu1 Cu 0.0000 0.0000 0.5000
Cl1 Cl 0.0000 0.0000 0.2760
# * magnetic moment: 0.90 Bohr magnetons per cell


Energies relative to the most stable structure are A 0; B 385; C 270, reported in meV per atom.


A:
# PBE YCuCl2, optimized geometry
data_YCuCl2
_chemical_formula_sum 'Y1 Cu1 Cl2'
_cell_length_a 3.800
_cell_length_b 3.600
_cell_length_c 7.981
_cell_angle_alpha 90.00
_cell_angle_beta 100.00
_cell_angle_gamma 90.00
_space_group_name_H-M_alt 'P 1 m 1'
_space_group_IT_number 6
loop_
_space_group_symop_operation_xyz
'x,y,z'
'x,-y,z'
loop_
_atom_site_label
_atom_site_type_symbol
_atom_site_fract_x
_atom_site_fract_y
_atom_site_fract_z
Y1 Y 0.000 0.000 0.000
Cu1 Cu 0.548 0.500 0.181
Cl1 Cl 0.250 0.000 0.332
Cl2 Cl 0.911 0.500 0.753
# * magnetic moment: 0.00 Bohr magnetons per cell


B:
# PBE YCuCl2, optimized geometry
data_YCuCl2
_chemical_formula_sum 'Y2 Cu2 Cl4'
_cell_length_a 4.282
_cell_length_b 4.282
_cell_length_c 8.751
_cell_angle_alpha 90.00
_cell_angle_beta 90.00
_cell_angle_gamma 90.00
_space_group_name_H-M_alt 'I -4 m 2'
_space_group_IT_number 119
_space_group_name_Hall 'I -4 -2'
loop_
_atom_site_label
_atom_site_type_symbol
_atom_site_fract_x
_atom_site_fract_y
_atom_site_fract_z
Y1 Y 0.000 0.000 0.000
Cu1 Cu 0.000 0.500 0.250
Cl1 Cl 0.000 0.000 0.500
Cl2 Cl 0.000 0.500 0.750
# * magnetic moment: 0.00 Bohr magnetons per cell


Energies relative to the most stable structure are A 0; B 331, reported in meV per atom.


A:
# PBE YCuCl2, optimized geometry
data_YCuCl2
_chemical_formula_sum 'Y3 Cu3 Cl6'
_cell_length_a 3.9091
_cell_length_b 3.9091
_cell_length_c 23.5880
_cell_angle_alpha 90.00
_cell_angle_beta 90.00
_cell_angle_gamma 120.00
_space_group_name_H-M_alt 'R 3 m'
_space_group_IT_number 160
_space_group_name_Hall 'R 3 -2"'
loop_
_atom_site_label
_atom_site_type_symbol
_atom_site_fract_x
_atom_site_fract_y
_atom_site_fract_z
Y1 Y 0.0000 0.0000 0.0000
Cu1 Cu 0.0000 0.0000 0.7368
Cl1 Cl 0.0000 0.0000 0.2634
Cl2 Cl 0.0000 0.0000 0.4503
# * magnetic moment: 0.00 Bohr magnetons per cell


B:
# PBE YCuCl2, optimized geometry
data_YCuCl2
_chemical_formula_sum 'Y1 Cu1 Cl2'
_cell_length_a 3.465
_cell_length_b 3.465
_cell_length_c 7.871
_cell_angle_alpha 90.00
_cell_angle_beta 90.00
_cell_angle_gamma 90.00
_space_group_name_H-M_alt 'P 4 m m'
_space_group_IT_number 99
loop_
_space_group_symop_operation_xyz
'x,y,z'
'-y,x,z'
'-x,-y,z'
'y,-x,z'
'-x,y,z'
'y,x,z'
'x,-y,z'
'-y,-x,z'
loop_
_atom_site_label
_atom_site_type_symbol
_atom_site_fract_x
_atom_site_fract_y
_atom_site_fract_z
Y1 Y 0.000 0.000 0.000
Cu1 Cu 0.500 0.500 0.795
Cl1 Cl 0.000 0.000 0.656
Cl2 Cl 0.500 0.500 0.223
# * magnetic moment: 0.00 Bohr magnetons per cell


C:
# PBE YCuCl2, optimized geometry
data_YCuCl2
_chemical_formula_sum 'Y2 Cu2 Cl4'
_cell_length_a 14.494
_cell_length_b 3.604
_cell_length_c 4.887
_cell_angle_alpha 90.00
_cell_angle_beta 109.37
_cell_angle_gamma 90.00
_space_group_name_H-M_alt 'C 1 2/m 1'
_space_group_IT_number 12
loop_
_space_group_symop_operation_xyz
'x,y,z'
'-x,-y,-z'
'-x,y,-z'
'x,-y,z'
'x+1/2,y+1/2,z'
'-x+1/2,-y+1/2,-z'
'-x+1/2,y+1/2,-z'
'x+1/2,-y+1/2,z'
loop_
_atom_site_label
_atom_site_type_symbol
_atom_site_fract_x
_atom_site_fract_y
_atom_site_fract_z
Y1 Y 0.000 0.000 0.000
Cu1 Cu 0.000 0.500 0.500
Cl1 Cl 0.144 0.500 0.142
# * magnetic moment: 0.00 Bohr magnetons per cell


D:
# PBE YCuCl2, optimized geometry
data_YCuCl2
_chemical_formula_sum 'Y4 Cu4 Cl8'
_cell_length_a 6.086
_cell_length_b 6.086
_cell_length_c 10.877
_cell_angle_alpha 90.00
_cell_angle_beta 90.00
_cell_angle_gamma 90.00
_space_group_name_H-M_alt 'I -4 2 d'
_space_group_IT_number 122
_space_group_name_Hall 'I -4 2bw'
loop_
_atom_site_label
_atom_site_type_symbol
_atom_site_fract_x
_atom_site_fract_y
_atom_site_fract_z
Y1 Y 0.000 0.000 0.000
Cu1 Cu 0.000 0.000 0.500
Cl1 Cl 0.188 0.250 0.625
# * magnetic moment: 7.36 Bohr magnetons per cell


Energies relative to the most stable structure are A 0; B 71; C 18; D 528, reported in meV per atom.


A:
# PBE YCuCl2, optimized geometry
data_YCuCl2
_chemical_formula_sum 'Y2 Cu2 Cl4'
_cell_length_a 3.458
_cell_length_b 4.857
_cell_length_c 13.340
_cell_angle_alpha 90.00
_cell_angle_beta 90.00
_cell_angle_gamma 90.00
_space_group_name_H-M_alt 'I m m 2'
_space_group_IT_number 44
loop_
_space_group_symop_operation_xyz
'x,y,z'
'-x,-y,z'
'-x,y,z'
'x,-y,z'
'x+1/2,y+1/2,z+1/2'
'-x+1/2,-y+1/2,z+1/2'
'-x+1/2,y+1/2,z+1/2'
'x+1/2,-y+1/2,z+1/2'
loop_
_atom_site_label
_atom_site_type_symbol
_atom_site_fract_x
_atom_site_fract_y
_atom_site_fract_z
Y1 Y 0.000 0.000 0.000
Cu1 Cu 0.000 0.500 0.332
Cl1 Cl 0.000 0.000 0.486
Cl2 Cl 0.000 0.500 0.656
# * magnetic moment: 0.00 Bohr magnetons per cell


B:
# PBE YCuCl2, optimized geometry
data_YCuCl2
_chemical_formula_sum 'Y2 Cu2 Cl4'
_cell_length_a 3.662
_cell_length_b 5.966
_cell_length_c 10.886
_cell_angle_alpha 90.00
_cell_angle_beta 90.00
_cell_angle_gamma 90.00
_space_group_name_H-M_alt 'C m m m'
_space_group_IT_number 65
_space_group_name_Hall '-C 2 2'
loop_
_atom_site_label
_atom_site_type_symbol
_atom_site_fract_x
_atom_site_fract_y
_atom_site_fract_z
Y1 Y 0.000 0.000 0.000
Cu1 Cu 0.000 0.000 0.500
Cl1 Cl 0.000 0.500 0.178
# * magnetic moment: 0.00 Bohr magnetons per cell


C:
# PBE YCuCl2, optimized geometry
data_YCuCl2
_chemical_formula_sum 'Y4 Cu4 Cl8'
_cell_length_a 6.815
_cell_length_b 6.815
_cell_length_c 6.815
_cell_angle_alpha 90.00
_cell_angle_beta 90.00
_cell_angle_gamma 90.00
_space_group_name_H-M_alt 'F m -3 m'
_space_group_IT_number 225
_space_group_name_Hall '-F 4 2 3'
loop_
_atom_site_label
_atom_site_type_symbol
_atom_site_fract_x
_atom_site_fract_y
_atom_site_fract_z
Y1 Y 0.000 0.000 0.000
Cu1 Cu 0.000 0.000 0.500
Cl1 Cl 0.250 0.250 0.250
# * magnetic moment: 0.00 Bohr magnetons per cell


Energies relative to the most stable structure are A 0; B 273; C 136, reported in meV per atom.


A:
# PBE ZnCuCl, optimized geometry
data_ZnCuCl
_chemical_formula_sum 'Zn4 Cu4 Cl4'
_cell_length_a 10.866
_cell_length_b 3.228
_cell_length_c 5.892
_cell_angle_alpha 90.00
_cell_angle_beta 90.00
_cell_angle_gamma 90.00
_space_group_name_H-M_alt 'A m m 2'
_space_group_IT_number 38
loop_
_space_group_symop_operation_xyz
'x,y,z'
'-x,-y,z'
'-x,y,z'
'x,-y,z'
'x,y+1/2,z+1/2'
'-x,-y+1/2,z+1/2'
'-x,y+1/2,z+1/2'
'x,-y+1/2,z+1/2'
loop_
_atom_site_label
_atom_site_type_symbol
_atom_site_fract_x
_atom_site_fract_y
_atom_site_fract_z
Zn1 Zn 0.154 0.000 0.000
Cu1 Cu 0.000 0.000 0.678
Cu2 Cu 0.500 0.000 0.736
Cl1 Cl 0.349 0.000 0.433
# * magnetic moment: 0.00 Bohr magnetons per cell


B:
# PBE ZnCuCl, optimized geometry
data_ZnCuCl
_chemical_formula_sum 'Zn4 Cu4 Cl4'
_cell_length_a 3.258
_cell_length_b 5.938
_cell_length_c 11.389
_cell_angle_alpha 90.00
_cell_angle_beta 90.00
_cell_angle_gamma 90.00
_space_group_name_H-M_alt 'F m m 2'
_space_group_IT_number 42
_space_group_name_Hall 'F 2 -2'
loop_
_atom_site_label
_atom_site_type_symbol
_atom_site_fract_x
_atom_site_fract_y
_atom_site_fract_z
Zn1 Zn 0.000 0.000 0.000
Cu1 Cu 0.000 0.000 0.657
Cl1 Cl 0.000 0.000 0.319
# * magnetic moment: 0.00 Bohr magnetons per cell


C:
# PBE ZnCuCl, optimized geometry
data_ZnCuCl
_chemical_formula_sum 'Zn2 Cu2 Cl2'
_cell_length_a 3.103
_cell_length_b 3.103
_cell_length_c 10.989
_cell_angle_alpha 90.00
_cell_angle_beta 90.00
_cell_angle_gamma 90.00
_space_group_name_H-M_alt 'I 4 m m'
_space_group_IT_number 107
_space_group_name_Hall 'I 4 -2'
loop_
_atom_site_label
_atom_site_type_symbol
_atom_site_fract_x
_atom_site_fract_y
_atom_site_fract_z
Zn1 Zn 0.000 0.000 0.000
Cu1 Cu 0.000 0.000 0.375
Cl1 Cl 0.000 0.000 0.737
# * magnetic moment: 0.00 Bohr magnetons per cell


Energies relative to the most stable structure are A 0; B 46; C 100, reported in meV per atom.


A:
# PBE ZnCuCl, optimized geometry
data_ZnCuCl
_chemical_formula_sum 'Zn4 Cu4 Cl4'
_cell_length_a 6.199
_cell_length_b 6.199
_cell_length_c 6.199
_cell_angle_alpha 90.00
_cell_angle_beta 90.00
_cell_angle_gamma 90.00
_space_group_name_H-M_alt 'F -4 3 m'
_space_group_IT_number 216
_space_group_name_Hall 'F -4 2 3'
loop_
_atom_site_label
_atom_site_type_symbol
_atom_site_fract_x
_atom_site_fract_y
_atom_site_fract_z
Zn1 Zn 0.000 0.000 0.000
Cu1 Cu 0.250 0.250 0.250
Cl1 Cl 0.000 0.000 0.500
# * magnetic moment: 0.00 Bohr magnetons per cell


B:
# PBE ZnCuCl, optimized geometry
data_ZnCuCl
_chemical_formula_sum 'Zn1 Cu1 Cl1'
_cell_length_a 3.3396
_cell_length_b 3.3396
_cell_length_c 5.3231
_cell_angle_alpha 90.00
_cell_angle_beta 90.00
_cell_angle_gamma 120.00
_space_group_name_H-M_alt 'P 3 m 1'
_space_group_IT_number 156
loop_
_space_group_symop_operation_xyz
'x,y,z'
'-y,x-y,z'
'-x+y,-x,z'
'-y,-x,z'
'-x+y,y,z'
'x,x-y,z'
loop_
_atom_site_label
_atom_site_type_symbol
_atom_site_fract_x
_atom_site_fract_y
_atom_site_fract_z
Zn1 Zn 0.0000 0.0000 0.0000
Cu1 Cu 0.3333 0.6667 0.6995
Cl1 Cl 0.6667 0.3333 0.3852
# * magnetic moment: 0.00 Bohr magnetons per cell


Energies relative to the most stable structure are A 338; B 0, reported in meV per atom.